DFT (PBE) results for a relaxed structure of Tm8OsPd2.

Lattice parameters (Å, degrees): 5.8512 7.6159 7.6159 114.96 100.94 100.94
Fractional coordinates of all 11 atoms:
Tm (0.8136, 0.6478, 0.6478)
Tm (0.5772, 0.0878, 0.3356)
Pd (0.4916, 0.3152, 0.7000)
Tm (0.9884, 0.2069, 0.7919)
Tm (0.9884, 0.7919, 0.2069)
Tm (0.3775, 0.6712, 0.9190)
Tm (0.3775, 0.9190, 0.6712)
Tm (0.5772, 0.3356, 0.0878)
Pd (0.4916, 0.7000, 0.3152)
Tm (0.1652, 0.3572, 0.3572)
Os (0.1513, 0.0014, 0.0014)

DFT formation energy ... -345 meV/atom
E above lowest polymorph ... 0.0949 eV per atom
Space group ... Cm